(A)
## CsAlTc3 (GGA-PBE)

Data for CsAlTc3 after structural relaxation.

Summary:
- Calculated volume: 22.4 A^3/atom

Cell: 4.821 4.821 4.821 Å, 90.00 90.00 90.00°
Space group Pm-3m (No. 221)
Inequivalent atoms, fractional coordinates:
Cs  0.000  0.000  0.000 x1
Al  0.500  0.500  0.500 x1
Tc  0.000  0.500  0.500 x3

***

(B)
## CsAlTc3 (GGA-PBE)

Data for CsAlTc3 after structural relaxation.

Summary:
- Calculated volume: 23.9 A^3/atom

Cell: 4.929 4.929 4.929 Å, 90.00 90.00 90.00°
Space group Pm-3m (No. 221)
Inequivalent atoms, fractional coordinates:
Cs  0.000  0.000  0.000 x1
Al  0.500  0.500  0.500 x1
Tc  0.000  0.000  0.500 x3

***

Of the structures shown above, (A) is the most stable.